Record 1
Sc2TlSn: optimized geometry, GGA-PBE.

Properties
Its space group is No. 123. The calculation puts the relative energy among the computed polymorphs at 44 meV per atom. The value obtained for the formation energy is -363 meV/atom. The calculation puts the mass density at 7.33 g/cm3.

Unit cell a=3.7584 b=3.7584 c=6.6216 alpha=90.00 beta=90.00 gamma=90.00
With the nearest neighbours (Å) after each atom.
Sites, in units of the cell vectors:
1 Sn 0.5000 0.5000 0.5000  8 Sc 3.10, 2 Tl 3.31
2 Sc 0.0000 0.0000 0.7412  4 Sn 3.10, 4 Tl 3.16, 2 Sc 3.19-3.43
3 Sc 0.0000 0.0000 0.2588  4 Sn 3.10, 4 Tl 3.16, 2 Sc 3.19-3.43
4 Tl 0.5000 0.5000 0.0000  8 Sc 3.16, 2 Sn 3.31



Record 2
AcPuGa2O8: optimized geometry, GGA-PBE.

Properties
Its space group is No. 119. The calculation puts the uncorrected formation energy at -2093.5 meV per atom. The calculation puts the mass density at 7.06 g/cm3.

Unit cell a=6.0942 b=6.0942 c=6.0942 alpha=107.66 beta=107.66 gamma=113.16
With the nearest neighbours (Å) after each atom.
Sites, in units of the cell vectors:
1 O 0.4708 0.6756 0.7952  1 Ga 1.89
2 Pu 0.2500 0.7500 0.5000  8 O 2.18-2.31
3 O 0.3244 0.5292 0.2048  1 Ga 1.89
4 O 0.9573 0.6261 0.6688  1 Ga 1.85
5 O 0.8804 0.6756 0.2048  1 Ga 1.89
6 O 0.9573 0.2884 0.3312  1 Ga 1.85
7 O 0.3244 0.1196 0.7952  1 Ga 1.89
8 O 0.7116 0.0427 0.6688  1 Ga 1.85
9 Ga 0.5000 0.5000 0.0000  4 O 1.89
10 Ac 0.0000 0.0000 0.0000  8 O 2.40-2.63
11 Ga 0.7500 0.2500 0.5000  4 O 1.85
12 O 0.3739 0.0427 0.3312  1 Ga 1.85



Record 3
SbPd2: optimized geometry, GGA-PBE.

Properties
Its space group is No. 36. The calculation puts the uncorrected formation energy at -449.3 meV per atom. The calculation puts the mass density at 10.32 g/cm3.

Unit cell a=9.0641 b=9.0641 c=7.0533 alpha=90.00 beta=90.00 gamma=158.18
With the nearest neighbours (Å) after each atom.
Sites, in units of the cell vectors:
1 Pd 0.1756 0.8244 0.8956  5 Sb 2.71-2.87, 3 Pd 2.94-2.99
2 Pd 0.9612 0.0388 0.9947  4 Sb 2.78, 6 Pd 2.93-3.08
3 Sb 0.2048 0.7952 0.2727  8 Pd 2.67-2.87
4 Pd 0.3294 0.6706 0.0487  4 Sb 2.67-2.72, 3 Pd 2.93-2.94
5 Sb 0.5574 0.4426 0.8015  9 Pd 2.67-2.79
6 Pd 0.0388 0.9612 0.4947  4 Sb 2.78, 6 Pd 2.93-3.08
7 Pd 0.6706 0.3294 0.5487  4 Sb 2.67-2.72, 3 Pd 2.93-2.94
8 Pd 0.4139 0.5861 0.6725  4 Sb 2.67-2.81, 2 Pd 2.97
9 Sb 0.4426 0.5574 0.3015  9 Pd 2.67-2.79
10 Pd 0.5861 0.4139 0.1725  4 Sb 2.67-2.81, 2 Pd 2.97
11 Sb 0.7952 0.2048 0.7727  8 Pd 2.67-2.87
12 Pd 0.8244 0.1756 0.3956  5 Sb 2.71-2.87, 3 Pd 2.94-2.99



Record 4
BaYSb: optimized geometry, GGA-PBE.

Properties
Its space group is No. 187. The calculation puts the uncorrected formation energy at -585.2 meV per atom. The calculation puts the relative energy among the computed polymorphs at 16 meV per atom. The calculation puts the mass density at 5.00 g/cm3.

Unit cell a=5.2240 b=5.2240 c=4.8936 alpha=90.00 beta=90.00 gamma=120.00
With the nearest neighbours (Å) after each atom.
Sites, in units of the cell vectors:
1 Ba 0.0000 0.0000 0.0001  6 Sb 3.88-3.89, 6 Y 3.88
2 Sb 0.6667 0.3333 0.4996  3 Y 3.02
3 Y 0.3333 0.6667 0.5002  3 Sb 3.02